Computed, not measured: a geometry-optimized Sc2TcF structure at the PBE-GGA level of DFT.

Summary:
DFT total energy in eV/atom: -6.934
Space group: R-3m
Total magnetization in μB per formula unit: 0.00
Energy relative to the lowest polymorph listed for this composition in eV per atom: 0.4954
Formation energy without anion corrections in meV/atom: -709

Cell: 2.903 2.903 26.203 Å, 90.00 90.00 120.00°
Element x y z (fractional)
Sc 0.000 0.000 0.099
Sc 0.000 0.000 0.901
Sc 0.333 0.667 0.568
Sc 0.333 0.667 0.765
Sc 0.667 0.333 0.235
Sc 0.667 0.333 0.432
Tc 0.000 0.000 0.000
Tc 0.333 0.667 0.667
Tc 0.667 0.333 0.333
F 0.000 0.000 0.500
F 0.333 0.667 0.167
F 0.667 0.333 0.833